Computed, not measured: a geometry-optimized Pm3Th2S8 structure at the PBE level of DFT.

Its total energy is -6.68 eV/atom. The calculation puts the formation energy from raw total energies at -1.900 eV/atom. The calculation puts the total magnetic moment at 0.59 μB/f.u.

It has space group Cmmm (No. 65), with a = 9.742 Å, b = 13.647 Å, c = 4.746 Å, α = 90.00°, β = 90.00° and γ = 90.00°. Symmetry generates all atoms from Pm at (0.000, 0.000, 0.000), Pm at (0.218, 0.500, 0.500), Th at (0.000, 0.259, 0.000), S at (0.000, 0.122, 0.500), S at (0.000, 0.371, 0.500) and S at (0.244, 0.125, 0.000).